(1)
CdTePb2: optimized geometry, GGA-PBE.

Total magnetic moment, μB per formula unit: 0.0
Relative energy among the computed polymorphs, meV per atom: 0
E_tot, eV per cell: -11.7

Cell lengths 4.5250, 4.5250, 6.3818 Å; angles 90.00, 90.00, 90.00 degrees
Atoms (fractional coordinates):
Cd 0.0000 0.0000 0.0000
Te 0.5000 0.5000 0.5000
Pb 0.0000 0.0000 0.5000
Pb 0.5000 0.5000 0.0000

=====

(2)
Rb2VSbS4: optimized geometry, GGA-PBE.

Total magnetic moment, μB per formula unit: 0.2
E_tot, eV per cell: -38.1

Cell lengths 6.7962, 6.7962, 6.7962 Å; angles 110.34, 110.34, 107.75 degrees
Atoms (fractional coordinates):
Rb 0.0000 0.0000 0.0000
Rb 0.7500 0.2500 0.5000
V 0.5000 0.5000 0.0000
Sb 0.2500 0.7500 0.5000
S 0.2175 0.1586 0.6654
S 0.4480 0.7825 0.9411
S 0.4931 0.5520 0.3346
S 0.8414 0.5069 0.0589

=====

Among the records above, which one has the lowest E_tot? Rb2VSbS4